The following is a DFT calculation (PBE-GGA) of crystalline PuAl2Ge at its relaxed geometry.

Results
distance to the lowest polymorph of the same formula = 61.8 kJ/mol of atoms
V = 20.71 A^3/atom
DFT formation energy = 0.30 eV per atom
density of states at the Fermi level = 7.1 states/eV per cell

Cell: 3.066 3.066 10.331 Å, 81.47 81.47 60.00°
Sites, in units of the cell vectors:
Ge 0.500 0.500 0.500
Al 0.098 0.098 0.707
Al 0.902 0.902 0.293
Pu 0.000 0.000 0.000

---

The following is a DFT calculation (PBE-GGA) of crystalline Hg5Pb4 at its relaxed geometry.

Results
distance to the lowest polymorph of the same formula = 2.4 kJ/mol of atoms
V = 28.39 A^3/atom
DFT formation energy = 0.06 eV per atom
density of states at the Fermi level = 12.0 states/eV per cell

Cell: 9.603 9.603 6.398 Å, 90.00 90.00 120.00°
Sites, in units of the cell vectors:
Hg 0.667 0.333 0.000
Hg 0.699 0.699 0.750
Hg 0.301 0.000 0.750
Hg 0.000 0.699 0.250
Hg 0.699 0.000 0.250
Hg 0.333 0.667 0.000
Hg 0.333 0.667 0.500
Hg 0.301 0.301 0.250
Hg 0.000 0.301 0.750
Hg 0.667 0.333 0.500
Pb 0.629 0.629 0.250
Pb 0.000 0.000 0.000
Pb 0.371 0.371 0.750
Pb 0.000 0.000 0.500
Pb 0.000 0.629 0.750
Pb 0.629 0.000 0.750
Pb 0.000 0.371 0.250
Pb 0.371 0.000 0.250

---

Copy entry 2 word for word.
The following is a DFT calculation (PBE-GGA) of crystalline Hg5Pb4 at its relaxed geometry.

Results
distance to the lowest polymorph of the same formula = 2.4 kJ/mol of atoms
V = 28.39 A^3/atom
DFT formation energy = 0.06 eV per atom
density of states at the Fermi level = 12.0 states/eV per cell

Cell: 9.603 9.603 6.398 Å, 90.00 90.00 120.00°
Sites, in units of the cell vectors:
Hg 0.667 0.333 0.000
Hg 0.699 0.699 0.750
Hg 0.301 0.000 0.750
Hg 0.000 0.699 0.250
Hg 0.699 0.000 0.250
Hg 0.333 0.667 0.000
Hg 0.333 0.667 0.500
Hg 0.301 0.301 0.250
Hg 0.000 0.301 0.750
Hg 0.667 0.333 0.500
Pb 0.629 0.629 0.250
Pb 0.000 0.000 0.000
Pb 0.371 0.371 0.750
Pb 0.000 0.000 0.500
Pb 0.000 0.629 0.750
Pb 0.629 0.000 0.750
Pb 0.000 0.371 0.250
Pb 0.371 0.000 0.250